The following is a DFT calculation (PBE) of LiNiPPd after structural relaxation.

Geometry as CIF:
```
data_LiNiPPd
_symmetry_space_group_name_H-M 'F -4 3 m'
_symmetry_Int_Tables_number 216
_symmetry_space_group_name_Hall 'F -4 2 3'
_cell_length_a 5.760
_cell_length_b 5.760
_cell_length_c 5.760
_cell_angle_alpha 90.00
_cell_angle_beta 90.00
_cell_angle_gamma 90.00
loop_
_atom_site_label
_atom_site_fract_x
_atom_site_fract_y
_atom_site_fract_z
Li1 0.000 0.000 0.000
Ni1 0.250 0.250 0.750
P1 0.000 0.000 0.500
Pd1 0.250 0.250 0.250
```

Computed properties:
As for the formation energy: -40.72 kJ per mole of atoms. For the density of states at the Fermi level, the calculation gives 10.496 states/eV per cell. The calculation puts the total energy at -4.9965 eV/atom.